NiHgRu2, relaxed, DFT PBE; ΔH_f (0 K) = 541.1 meV/atom; symmetry = Imm2
1.0
-1.4911 2.2780 4.4064
1.4911 -2.2780 4.4064
1.4911 2.2780 -4.4064
Ni Hg Ru
1 1 2
Cartesian
0.0000 0.0000 0.0000
0.0000 2.2780 2.2226
1.4911 0.0000 2.0620
0.0000 0.0000 4.2224

Ni2HgRu, relaxed, DFT PBE; ΔH_f (0 K) = 484.9 meV/atom; symmetry = F-43m
1.0
0.0000 3.0720 3.0720
3.0720 0.0000 3.0720
3.0720 3.0720 0.0000
Ni Hg Ru
2 1 1
Cartesian
0.0000 0.0000 0.0000
1.5360 1.5360 1.5360
3.0720 3.0720 3.0720
4.6079 4.6079 4.6079

Ni2HgRu, relaxed, DFT PBE; ΔH_f (0 K) = 379.9 meV/atom; symmetry = C2/m
1.0
4.2620 -1.3825 0.0000
4.2620 1.3825 0.0000
-0.7990 0.0000 4.9346
Ni Hg Ru
2 1 1
Cartesian
1.9129 0.0000 1.0261
5.8120 0.0000 3.9085
-0.3995 0.0000 2.4673
4.2620 0.0000 0.0000

NiHg3Ru, relaxed, DFT PBE; ΔH_f (0 K) = 1163.5 meV/atom; symmetry = Pm-3m
1.0
5.2090 0.0000 0.0000
0.0000 5.2090 0.0000
0.0000 0.0000 5.2090
Ni Hg Ru
1 3 1
Cartesian
0.0000 0.0000 0.0000
0.0000 2.6045 2.6045
2.6045 0.0000 2.6045
2.6045 2.6045 0.0000
2.6045 2.6045 2.6045

NiHgRu2, relaxed, DFT PBE; ΔH_f (0 K) = 629.0 meV/atom; symmetry = Cmmm
1.0
1.4148 -2.3627 0.0000
1.4148 2.3627 0.0000
0.0000 0.0000 9.2547
Ni Hg Ru
1 1 2
Cartesian
0.0000 0.0000 0.0000
0.0000 0.0000 4.6273
1.4148 0.0000 2.0727
1.4148 0.0000 7.1820

NiHgRu2, relaxed, DFT PBE; ΔH_f (0 K) = 829.1 meV/atom; symmetry = I-42d
1.0
-3.6303 3.6303 2.4805
3.6303 -3.6303 2.4805
3.6303 3.6303 -2.4805
Ni Hg Ru
2 2 4
Cartesian
0.0000 0.0000 0.0000
0.0000 3.6303 1.2402
3.6303 0.0000 1.2402
0.0000 0.0000 2.4805
1.8152 1.4225 -0.6201
2.2078 -1.8152 3.1006
1.8152 2.2078 1.8603
1.4225 5.4455 0.6201

Ni2HgRu, relaxed, DFT PBE; ΔH_f (0 K) = 394.2 meV/atom; symmetry = Imm2
1.0
-1.3898 2.2387 4.5486
1.3898 -2.2387 4.5486
1.3898 2.2387 -4.5486
Ni Hg Ru
2 1 1
Cartesian
0.0000 0.0000 0.0000
0.0000 2.2387 2.5073
0.0000 0.0000 4.6757
1.3898 0.0000 2.1321

NiHg2Ru, relaxed, DFT PBE; ΔH_f (0 K) = 546.8 meV/atom; symmetry = C2/m
1.0
4.5195 -1.4856 0.0000
4.5195 1.4856 0.0000
-1.0540 0.0000 5.0803
Ni Hg Ru
1 2 1
Cartesian
0.0000 0.0000 0.0000
1.5077 0.0000 3.8426
6.4773 0.0000 1.2377
3.9925 0.0000 2.5401